# 1
First-principles (GGA-PBEsol) data for a relaxed HfTl2CoAs crystal, as listed in Alexandria.

size of the total moment = 1.8 μB/f.u.
VASP energy = -4.5198 eV per atom
Fermi-level density of states = 1.774 states/eV/atom
space group = P4/mmm (123)
energy of formation from the pure elements = 1.202 eV per atom

```
HfTl2CoAs
1.0
-3.4159 1.9869 -3.0375
-3.4925 -3.4836 1.6488
-1.4657 3.2584 3.7797
Tl As Hf Co
2 1 1 1
Direct
0.0000 0.0000 0.5000
0.0000 0.5000 0.0000
0.0000 0.0000 0.0000
0.5000 0.0000 0.0000
0.5000 0.5000 0.5000
```

=====

# 2
First-principles (GGA-PBEsol) data for a relaxed Co2HgAs crystal, as listed in Alexandria.

size of the total moment = 2.5 μB/f.u.
VASP energy = -5.1134 eV per atom
Fermi-level density of states = 0.817 states/eV/atom
space group = Pmm2 (25)
energy of formation from the pure elements = 0.173 eV per atom

```
Co2HgAs
1.0
-2.0863 -0.9918 -1.5610
-1.7477 -0.3683 2.5699
-2.5178 6.5205 -0.7778
Hg Co As
1 2 1
Direct
0.0000 0.0000 0.4457
0.0000 0.0000 0.0216
0.5000 0.5000 0.1933
0.5000 0.5000 0.8394
```